No. 1
DFT (PBE) results for crystalline AuCS2 at its relaxed geometry.

Cell lengths 4.3913, 4.3913, 4.3913 Å; angles 60.00, 60.00, 60.00 degrees
Element x y z (fractional)
Au: 0.0000 0.0000 0.0000
C: 0.5000 0.5000 0.5000
S: 0.2500 0.2500 0.2500
S: 0.7500 0.7500 0.7500

Results
Final energy in eV/cell: -13.17
ΔE to the lowest computed polymorph in meV/atom: 1334
ΔE_f (raw) in eV per atom: 1.896
D(E_F) in states/eV per atom: 0.679

---

No. 2
DFT (PBE) results for crystalline GeTeRu at its relaxed geometry.

Cell lengths 4.3987, 4.3987, 4.5913 Å; angles 121.14, 121.14, 57.35 degrees
Element x y z (fractional)
Ge: 0.0000 0.0000 0.0000
Te: 0.5177 0.5177 0.5191
Ru: 0.7485 0.7485 0.2475

Results
Final energy in eV/cell: -17.10
ΔE_f (raw) in eV per atom: -0.021
D(E_F) in states/eV per atom: 0.366

---

No. 3
DFT (PBE) results for crystalline Na2SrVMo at its relaxed geometry.

Cell lengths 5.0990, 5.0990, 5.1383 Å; angles 90.00, 90.00, 90.00 degrees
Element x y z (fractional)
Na: 0.0000 0.5000 0.0000
Na: 0.5000 0.0000 0.0000
Sr: 0.0000 0.0000 0.0000
V: 0.5000 0.5000 0.5000
Mo: 0.0000 0.0000 0.5000

Results
Final energy in eV/cell: -13.04
D(E_F) in states/eV per atom: 1.554
E_form in eV per atom: 2.2459

---

No. 4
DFT (PBE) results for crystalline GaTcSn2I at its relaxed geometry.

Cell lengths 5.2634, 5.2634, 4.9466 Å; angles 90.00, 90.00, 90.00 degrees
Element x y z (fractional)
Ga: 0.0000 0.0000 0.0000
Tc: 0.0000 0.0000 0.5000
Sn: 0.0000 0.5000 0.5000
Sn: 0.5000 0.0000 0.5000
I: 0.5000 0.5000 0.0000

Results
Final energy in eV/cell: -23.00
ΔE_f (raw) in eV per atom: -0.010
D(E_F) in states/eV per atom: 0.538